No. 1
A plane-wave DFT calculation with GGA-PBE was carried out for a geometry-optimized Cu2AsRh structure.

a = 4.4840 Å, b = 4.4840 Å, c = 3.0007 Å
α = 90.00°, β = 90.00°, γ = 112.68°
Atoms (fractional coordinates):
Cu 0.0000 0.5000 0.0000
Cu 0.5000 0.0000 0.0000
As 0.0000 0.0000 0.5000
Rh 0.5000 0.5000 0.5000

Output
Formation energy   9 meV per atom
Space group   Cmmm

No. 2
A plane-wave DFT calculation with GGA-PBE was carried out for a geometry-optimized Ho4Hg2N structure.

a = 8.1160 Å, b = 8.1160 Å, c = 8.1160 Å
α = 145.76°, β = 145.76°, γ = 49.20°
Atoms (fractional coordinates):
Ho 0.0000 0.5000 0.5000
Ho 0.1688 0.1688 0.0000
Ho 0.5000 0.0000 0.5000
Ho 0.8312 0.8312 0.0000
Hg 0.3683 0.3683 0.0000
Hg 0.6317 0.6317 0.0000
N 0.0000 0.0000 0.0000

Output
Energy relative to the elements, uncorrected   -496 kJ/mol of formula units
Space group   I4/mmm
Excess energy over the best structure of this formula in the dataset   0.00 kcal/mol of atoms

No. 3
A plane-wave DFT calculation with GGA-PBE was carried out for a geometry-optimized ErMgNiIr structure.

a = 4.5954 Å, b = 4.5954 Å, c = 4.5954 Å
α = 60.00°, β = 60.00°, γ = 60.00°
Atoms (fractional coordinates):
Er 0.0000 0.0000 0.0000
Mg 0.5000 0.5000 0.5000
Ni 0.2500 0.2500 0.2500
Ir 0.7500 0.7500 0.7500

Output
Formation energy   -486 meV per atom
Space group   F-43m

No. 4
A plane-wave DFT calculation with GGA-PBE was carried out for a geometry-optimized LaNdTe3 structure.

a = 4.5088 Å, b = 7.7693 Å, c = 9.9746 Å
α = 90.00°, β = 90.00°, γ = 90.00°
Atoms (fractional coordinates):
La 0.2500 0.2500 0.1521
La 0.7500 0.7500 0.8479
Nd 0.2500 0.7500 0.4003
Nd 0.7500 0.2500 0.5997
Te 0.2500 0.5222 0.6712
Te 0.2500 0.7500 0.0698
Te 0.2500 0.9778 0.6712
Te 0.7500 0.0222 0.3288
Te 0.7500 0.2500 0.9302
Te 0.7500 0.4778 0.3288

Output
Energy relative to the elements, uncorrected   -712 kJ/mol of formula units
Space group   Pmmn
Excess energy over the best structure of this formula in the dataset   1.36 kcal/mol of atoms

What is the formula in the first record? Cu2AsRh